(1)
SO | Alexandria via LeMat-Bulk | PBE | optimized geometry; total magnetic moment = 0.0 μB/f.u.; raw formation energy = -0.469 eV per atom; DOS(E_F) = 0.000 states/eV/atom; energy relative to the lowest polymorph listed for this composition = 93 meV per atom; space-group type = P1
1.0
3.9461 0.0000 0.0000
0.1747 4.8465 0.0000
1.3203 2.2999 4.4433
S O
2 2
direct
0.0000 0.0000 0.0000 S
0.4271 0.7544 0.8674 S
0.4969 0.4982 0.1365 O
0.7933 0.0626 0.7489 O


(2)
Li2CoAs2 | Alexandria via LeMat-Bulk | PBE | optimized geometry; total magnetic moment = 2.0 μB/f.u.; DOS(E_F) = 1.088 states/eV/atom; formation energy from the elements = 0.36 eV per atom; energy relative to the lowest polymorph listed for this composition = 384 meV per atom; space-group type = I4/mmm
1.0
-1.8654 1.8654 6.2785
1.8654 -1.8654 6.2785
1.8654 1.8654 -6.2785
Li Co As
2 1 2
direct
0.0979 0.0979 0.0000 Li
0.9021 0.9021 0.0000 Li
0.5000 0.5000 0.0000 Co
0.2500 0.7500 0.5000 As
0.7500 0.2500 0.5000 As


(3)
VZnIn3 | Alexandria via LeMat-Bulk | PBE | optimized geometry; total magnetic moment = 3.8 μB/f.u.; DOS(E_F) = 1.823 states/eV/atom; formation energy from the elements = 0.78 eV per atom; energy relative to the lowest polymorph listed for this composition = 211 meV per atom; space-group type = Pm-3m
1.0
5.1311 0.0000 0.0000
0.0000 5.1311 0.0000
0.0000 0.0000 5.1311
V Zn In
1 1 3
direct
0.0000 0.0000 0.0000 V
0.5000 0.5000 0.5000 Zn
0.0000 0.5000 0.5000 In
0.5000 0.0000 0.5000 In
0.5000 0.5000 0.0000 In


(4)
Nd2DyEr5Tm | Alexandria via LeMat-Bulk | PBE | optimized geometry; total magnetic moment = 0.0 μB/f.u.; DOS(E_F) = 1.279 states/eV/atom; formation energy from the elements = 0.28 eV per atom; space-group type = I4/mcm
1.0
-4.2824 4.2824 7.8175
4.2824 -4.2824 7.8175
4.2824 4.2824 -7.8175
Nd Dy Er Tm
4 2 10 2
direct
0.1179 0.6179 0.7357 Nd
0.3821 0.1179 0.5000 Nd
0.6179 0.8821 0.5000 Nd
0.8821 0.3821 0.2643 Nd
0.2500 0.2500 0.0000 Dy
0.7500 0.7500 0.0000 Dy
0.0000 0.0000 0.0000 Er
0.0726 0.1456 0.5000 Er
0.1456 0.6456 0.0730 Er
0.3544 0.4274 0.5000 Er
0.4274 0.9274 0.0730 Er
0.5000 0.5000 0.0000 Er
0.5726 0.0726 0.9270 Er
0.6456 0.5726 0.5000 Er
0.8544 0.3544 0.9270 Er
0.9274 0.8544 0.5000 Er
0.2500 0.7500 0.5000 Tm
0.7500 0.2500 0.5000 Tm